No. 1
VASP calculation (PBE) on a geometry-optimized SmScSb structure.

Computed properties:
Symmetry: P4/nmm
Electronic total energy, eV per atom: -5.934
Total magnetic moment, μB/atom: 0.0623

Unit cell a=4.4004 b=4.4004 c=8.3016 alpha=90.00 beta=90.00 gamma=90.00
Fractional positions:
Sm: 0.2500 0.2500 0.1504
Sm: 0.7500 0.7500 0.8496
Sc: 0.2500 0.7500 0.5000
Sc: 0.7500 0.2500 0.5000
Sb: 0.2500 0.2500 0.7584
Sb: 0.7500 0.7500 0.2416



No. 2
VASP calculation (PBE) on a geometry-optimized InAgSn structure.

Computed properties:
Symmetry: P1
Electronic total energy, eV per atom: -3.166
Energy of formation, kJ/mol of formula units: 9
Total magnetic moment, μB/atom: 0.0000

Unit cell a=3.0827 b=3.5199 c=6.8128 alpha=104.57 beta=90.04 gamma=90.01
Fractional positions:
In: 0.0000 0.0000 0.0000
Ag: 0.5002 0.6464 0.2939
Sn: 0.0019 0.2947 0.5937



No. 3
VASP calculation (PBE) on a geometry-optimized CeThInGa structure.

Computed properties:
Symmetry: F-43m
Electronic total energy, eV per atom: -5.079
Energy of formation, kJ/mol of formula units: -115
Total magnetic moment, μB/atom: 0.2945

Unit cell a=5.3457 b=5.3457 c=5.3457 alpha=60.00 beta=60.00 gamma=60.00
Fractional positions:
Ce: 0.0000 0.0000 0.0000
Th: 0.5000 0.5000 0.5000
In: 0.2500 0.2500 0.2500
Ga: 0.7500 0.7500 0.7500



No. 4
VASP calculation (PBE) on a geometry-optimized BTeH structure.

Computed properties:
Symmetry: P-1
Electronic total energy, eV per atom: -4.285
Total magnetic moment, μB/atom: 0.0000

Unit cell a=4.2967 b=5.0033 c=5.3378 alpha=108.55 beta=99.60 gamma=98.99
Fractional positions:
B: 0.1284 0.4172 0.4171
B: 0.8716 0.5828 0.5829
Te: 0.4983 0.2755 0.6968
Te: 0.5017 0.7245 0.3032
H: 0.0380 0.2095 0.2095
H: 0.9620 0.7905 0.7905



- Number 2 is which compound?
  InAgSn